# 1
Hf3AuN: single point on PBEsol structure, meta-GGA SCAN.

Cell lengths 4.3514, 4.3514, 4.3514 Å; angles 90.00, 90.00, 90.00 degrees
With the nearest neighbours (Å) after each atom.
Sites, in units of the cell vectors:
1 Au 0.5000 0.5000 0.5000  12 Hf 3.08
2 Hf 0.0000 0.5000 0.0000  2 N 2.18
3 Hf 0.0000 0.0000 0.5000  2 N 2.18
4 Hf 0.5000 0.0000 0.0000  2 N 2.18
5 N 0.0000 0.0000 0.0000  6 Hf 2.18

Summary:
The total DFT energy (no corrections) is -54.4323 eV per atom. Its space-group type is Pm-3m (221). The value obtained for the volume is 16.479 Å³/atom. The spin magnetization comes out at 0.0 μB per formula unit. The uncorrected formation energy is -1.1388 eV/atom.

=====

# 2
ZnNiP2: single point on PBEsol structure, meta-GGA SCAN.

Cell lengths 3.2800, 3.5566, 5.7091 Å; angles 106.31, 90.00, 117.46 degrees
With the nearest neighbours (Å) after each atom.
Sites, in units of the cell vectors:
1 Ni 0.0000 0.0000 0.5000  6 P 2.26-2.28
2 P 0.7407 0.4813 0.6970  3 Ni 2.26-2.28
3 P 0.2593 0.5187 0.3030  3 Ni 2.26-2.28
4 Zn 0.5000 0.0000 0.0000  6 P 2.56-2.64

Summary:
The total DFT energy (no corrections) is -12.6985 eV per atom. Its space-group type is C2/m (12). The value obtained for the volume is 14.015 Å³/atom. For the formation energy, the calculation gives -0.077 eV/atom. The spin magnetization comes out at 0.0 μB per formula unit.

=====

# 3
Zr2Ni2Au: single point on PBEsol structure, meta-GGA SCAN.

Cell lengths 3.2784, 3.2784, 8.1734 Å; angles 101.57, 101.57, 90.00 degrees
With the nearest neighbours (Å) after each atom.
Sites, in units of the cell vectors:
1 Ni 0.2500 0.7500 0.5000  4 Ni 2.32
2 Ni 0.7500 0.2500 0.5000  4 Ni 2.32
3 Au 0.0000 0.0000 0.0000  8 Zr 2.98, 4 Au 3.28
4 Zr 0.3806 0.3806 0.7612  4 Ni 2.62
5 Zr 0.6194 0.6194 0.2388  4 Ni 2.62

Summary:
The total DFT energy (no corrections) is -32.9340 eV per atom. Its space-group type is I4/mmm (139). The value obtained for the volume is 16.848 Å³/atom. For the formation energy, the calculation gives -0.354 eV/atom. The spin magnetization comes out at 0.0 μB per formula unit. The offset from the most stable computed form is 0.323 eV per atom.

=====

# 4
NaNd2OsO6: single point on PBEsol structure, meta-GGA SCAN.

Cell lengths 5.4852, 5.9345, 7.9140 Å; angles 90.00, 91.16, 90.00 degrees
With the nearest neighbours (Å) after each atom.
Sites, in units of the cell vectors:
1 Na 0.5000 0.5000 0.5000  6 O 2.26-2.31
2 Na 0.0000 0.0000 0.0000  6 O 2.26-2.31
3 Nd 0.4768 0.9261 0.2535  5 O 2.32-2.55
4 Nd 0.0232 0.4261 0.2465  5 O 2.32-2.55
5 Nd 0.9768 0.5739 0.7535  5 O 2.32-2.55
6 Nd 0.5232 0.0739 0.7465  5 O 2.32-2.55
7 Os 0.5000 0.5000 0.0000  6 O 1.97-1.98
8 Os 0.0000 0.0000 0.5000  6 O 1.97-1.98
9 O 0.8364 0.2820 0.5699  1 Os 1.98
10 O 0.6636 0.7820 0.9301  1 Os 1.98
11 O 0.1636 0.7180 0.4301  1 Os 1.98
12 O 0.3364 0.2180 0.0699  1 Os 1.98
13 O 0.1227 0.9488 0.7322  1 Os 1.97
14 O 0.3773 0.4488 0.7678  1 Os 1.97
15 O 0.8773 0.0512 0.2678  1 Os 1.97
16 O 0.6227 0.5512 0.2322  1 Os 1.97
17 O 0.2048 0.6740 0.0521  1 Os 1.97
18 O 0.2952 0.1740 0.4479  1 Os 1.97
19 O 0.7952 0.3260 0.9479  1 Os 1.97
20 O 0.7048 0.8260 0.5521  1 Os 1.97

Summary:
The total DFT energy (no corrections) is -22.6674 eV per atom. Its space-group type is P2_1/c (14). The value obtained for the volume is 12.878 Å³/atom. The spin magnetization comes out at 3.0 μB per formula unit. The uncorrected formation energy is -2.6027 eV/atom.

=====

# 5
CsRbMnF6: single point on PBEsol structure, meta-GGA SCAN.

Cell lengths 6.1309, 6.1309, 6.1309 Å; angles 60.00, 60.00, 60.00 degrees
With the nearest neighbours (Å) after each atom.
Sites, in units of the cell vectors:
1 Cs 0.2500 0.2500 0.2500  12 F 3.09
2 Rb 0.7500 0.7500 0.7500  12 F 3.09
3 Mn 0.0000 0.0000 0.0000  6 F 1.82
4 F 0.7904 0.2096 0.7904  1 Mn 1.82
5 F 0.7904 0.7904 0.2096  1 Mn 1.82
6 F 0.7904 0.2096 0.2096  1 Mn 1.82
7 F 0.2096 0.7904 0.2096  1 Mn 1.82
8 F 0.2096 0.2096 0.7904  1 Mn 1.82
9 F 0.2096 0.7904 0.7904  1 Mn 1.82

Summary:
The total DFT energy (no corrections) is -13.8840 eV per atom. Its space-group type is F-43m (216). The value obtained for the volume is 18.106 Å³/atom. The spin magnetization comes out at 3.0 μB per formula unit. The uncorrected formation energy is -2.9901 eV/atom.

=====

# 6
GeBiS2: single point on PBEsol structure, meta-GGA SCAN.

Cell lengths 4.8125, 4.8125, 4.8125 Å; angles 60.00, 60.00, 60.00 degrees
With the nearest neighbours (Å) after each atom.
Sites, in units of the cell vectors:
1 S 0.2500 0.2500 0.2500  4 Ge 2.95, 4 Bi 2.95
2 S 0.7500 0.7500 0.7500  4 Ge 2.95, 4 Bi 2.95
3 Ge 0.0000 0.0000 0.0000  8 S 2.95
4 Bi 0.5000 0.5000 0.5000  8 S 2.95

Summary:
The total DFT energy (no corrections) is -29.0815 eV per atom. Its space-group type is Fm-3m (225). The value obtained for the volume is 19.703 Å³/atom. The spin magnetization comes out at 0.0 μB per formula unit. The uncorrected formation energy is 0.1494 eV/atom.

=====

# 7
SmAlCu: single point on PBEsol structure, meta-GGA SCAN.

Cell lengths 5.3490, 5.3490, 5.3490 Å; angles 87.99, 61.12, 118.81 degrees
With the nearest neighbours (Å) after each atom.
Sites, in units of the cell vectors:
1 Sm 0.2500 0.3801 0.8699  6 Cu 3.07-3.19, 6 Al 3.13-3.17, 4 Sm 3.25-3.34
2 Sm 0.7500 0.6199 0.1301  6 Cu 3.07-3.19, 6 Al 3.13-3.17, 4 Sm 3.25-3.34
3 Cu 0.0000 0.5000 0.5000  4 Al 2.67, 2 Cu 2.72
4 Cu 0.5000 0.0000 0.5000  4 Al 2.67, 2 Cu 2.72
5 Al 0.5000 0.0000 0.0000  4 Cu 2.67, 2 Al 2.72
6 Al 0.0000 0.0000 0.5000  4 Cu 2.67, 2 Al 2.72

Summary:
The total DFT energy (no corrections) is -22.8803 eV per atom. Its space-group type is Imma (74). The value obtained for the volume is 18.339 Å³/atom. For the formation energy, the calculation gives -0.416 eV/atom. The spin magnetization comes out at 0.0 μB per formula unit.

=====

# 8
KCa2GeCl: single point on PBEsol structure, meta-GGA SCAN.

Cell lengths 5.6997, 5.6997, 5.9828 Å; angles 90.00, 90.00, 90.00 degrees
With the nearest neighbours (Å) after each atom.
Sites, in units of the cell vectors:
1 K 0.5000 0.5000 0.5000  4 Cl 4.03, 8 Ca 4.13
2 Ge 0.0000 0.0000 0.0000  4 Ca 2.85, 2 Cl 2.99
3 Ca 0.0000 0.5000 0.0000  2 Ge 2.85
4 Ca 0.5000 0.0000 0.0000  2 Ge 2.85
5 Cl 0.0000 0.0000 0.5000  2 Ge 2.99

Summary:
The total DFT energy (no corrections) is -11.2823 eV per atom. Its space-group type is P4/mmm (123). The value obtained for the volume is 38.871 Å³/atom. The spin magnetization comes out at 0.0 μB per formula unit. The uncorrected formation energy is -0.3381 eV/atom.

=====

# 9
CaYCr2: single point on PBEsol structure, meta-GGA SCAN.

Cell lengths 3.4196, 5.0932, 5.7897 Å; angles 116.09, 107.18, 90.00 degrees
With the nearest neighbours (Å) after each atom.
Sites, in units of the cell vectors:
1 Y 0.4788 0.4788 0.9577  8 Cr 3.15-3.34, 4 Ca 3.26-3.35, 2 Y 3.42
2 Cr 0.0508 0.0508 0.1017  2 Cr 2.24
3 Cr 0.6981 0.1981 0.3962  2 Cr 2.24
4 Ca 0.2722 0.7722 0.5444  8 Cr 3.15-3.35, 4 Y 3.26-3.35, 2 Ca 3.42

Summary:
The total DFT energy (no corrections) is -18.2521 eV per atom. Its space-group type is Imm2 (44). The value obtained for the volume is 21.381 Å³/atom. For the formation energy, the calculation gives 0.317 eV/atom. The spin magnetization comes out at 0.4 μB per formula unit.

=====

# 10
Ca2Ta2VO8: single point on PBEsol structure, meta-GGA SCAN.

Cell lengths 5.4411, 6.2041, 9.7125 Å; angles 108.63, 91.05, 90.00 degrees
With the nearest neighbours (Å) after each atom.
Sites, in units of the cell vectors:
1 Ca 0.2439 0.8939 0.4123  4 O 2.19-2.33
2 Ca 0.2561 0.4816 0.5877  4 O 2.19-2.33
3 Ca 0.7561 0.1061 0.5877  4 O 2.19-2.33
4 Ca 0.7439 0.5184 0.4123  4 O 2.19-2.33
5 Ta 0.2335 0.0419 0.7826  5 O 1.90-2.11
6 Ta 0.2665 0.2592 0.2174  5 O 1.90-2.11
7 Ta 0.7665 0.9581 0.2174  5 O 1.90-2.11
8 Ta 0.7335 0.7408 0.7826  5 O 1.90-2.11
9 V 0.2500 0.6254 0.0000  6 O 2.07-2.13
10 V 0.7500 0.3746 0.0000  6 O 2.07-2.13
11 O 0.8927 0.0676 0.8653  2 Ta 2.02-2.11, 1 V 2.09
12 O 0.6073 0.2024 0.1347  2 Ta 2.02-2.11, 1 V 2.09
13 O 0.1073 0.9324 0.1347  2 Ta 2.02-2.11, 1 V 2.09
14 O 0.3927 0.7976 0.8653  2 Ta 2.02-2.11, 1 V 2.09
15 O 0.4138 0.3050 0.8925  1 Ta 1.90, 1 V 2.07
16 O 0.0862 0.4126 0.1075  1 Ta 1.90, 1 V 2.07
17 O 0.5862 0.6950 0.1075  1 Ta 1.90, 1 V 2.07
18 O 0.9138 0.5874 0.8925  1 Ta 1.90, 1 V 2.07
19 O 0.4908 0.8747 0.6412  2 Ta 2.02-2.23, 1 Ca 2.22
20 O 0.0092 0.2335 0.3588  2 Ta 2.02-2.23, 1 Ca 2.22
21 O 0.9908 0.7665 0.6412  2 Ta 2.02-2.23, 1 Ca 2.22
22 O 0.5092 0.1253 0.3588  2 Ta 2.02-2.23, 1 Ca 2.22
23 O 0.6553 0.4632 0.6324  1 Ta 1.91
24 O 0.8447 0.8308 0.3676  1 Ta 1.91
25 O 0.3447 0.5368 0.3676  1 Ta 1.91
26 O 0.1553 0.1692 0.6324  1 Ta 1.91

Summary:
The total DFT energy (no corrections) is -19.9542 eV per atom. Its space-group type is C2/c (15). The value obtained for the volume is 11.948 Å³/atom. The spin magnetization comes out at 3.0 μB per formula unit. The uncorrected formation energy is -3.0441 eV/atom.

=====

# 11
CrB: single point on PBEsol structure, meta-GGA SCAN.

Cell lengths 2.8890, 2.8890, 8.0282 Å; angles 100.37, 100.37, 90.00 degrees
With the nearest neighbours (Å) after each atom.
Sites, in units of the cell vectors:
1 Cr 0.8024 0.8024 0.6048  7 B 2.13-2.25
2 Cr 0.0524 0.5524 0.1048  7 B 2.13-2.25
3 Cr 0.4476 0.9476 0.8952  7 B 2.13-2.25
4 Cr 0.1976 0.1976 0.3952  7 B 2.13-2.25
5 B 0.6578 0.6578 0.3156  2 B 1.77
6 B 0.9078 0.4078 0.8156  2 B 1.77
7 B 0.5922 0.0922 0.1844  2 B 1.77
8 B 0.3422 0.3422 0.6844  2 B 1.77

Summary:
The total DFT energy (no corrections) is -13.4241 eV per atom. Its space-group type is I4_1/amd (141). The value obtained for the volume is 8.100 Å³/atom. For the formation energy, the calculation gives -0.517 eV/atom. The spin magnetization comes out at 0.0 μB per formula unit.

=====

# 12
FeTe2I2: single point on PBEsol structure, meta-GGA SCAN.

Cell lengths 3.9776, 3.9776, 11.2591 Å; angles 100.17, 100.17, 90.00 degrees
With the nearest neighbours (Å) after each atom.
Sites, in units of the cell vectors:
1 I 0.4212 0.4212 0.8425  4 Fe 3.30, 1 I 3.43
2 I 0.5788 0.5788 0.1575  4 Fe 3.30, 1 I 3.43
3 Te 0.2500 0.7500 0.5000  4 Te 2.81
4 Te 0.7500 0.2500 0.5000  4 Te 2.81
5 Fe 0.0000 0.0000 0.0000  8 I 3.30

Summary:
The total DFT energy (no corrections) is -32.8391 eV per atom. Its space-group type is I4/mmm (139). The value obtained for the volume is 34.497 Å³/atom. The spin magnetization comes out at 3.9 μB per formula unit. The uncorrected formation energy is 0.3838 eV/atom.